1.
Rb2TlSnI, relaxed, DFT PBE-GGA; energy relative to the elements, uncorrected = -0.05 eV/atom; crystal system = tetragonal
1.0
6.7353 0.0000 0.0000
0.0000 6.7353 0.0000
0.0000 0.0000 6.1944
Rb Tl Sn I
2 1 1 1
Direct
0.0000 0.5000 0.0000 Rb
0.5000 0.0000 0.0000 Rb
0.0000 0.0000 0.5000 Tl
0.5000 0.5000 0.5000 Sn
0.5000 0.5000 0.0000 I

2.
Pm4Sm3Dy8, relaxed, DFT PBE-GGA; ΔH_f (0 K) = 0.13 eV/atom; E above lowest polymorph = 0 meV/atom; crystal system = trigonal
1.0
3.4944 2.0175 11.8640
-3.4944 2.0175 11.8640
0.0000 -4.0350 11.8640
Pm Sm Dy
4 3 8
Direct
0.0000 0.0000 0.0000 Pm
0.1636 0.1636 0.1636 Pm
0.5000 0.5000 0.5000 Pm
0.8364 0.8364 0.8364 Pm
0.0000 0.5000 0.5000 Sm
0.5000 0.0000 0.5000 Sm
0.5000 0.5000 0.0000 Sm
0.2503 0.2503 0.7485 Dy
0.2503 0.7485 0.2503 Dy
0.2515 0.7497 0.7497 Dy
0.2544 0.2544 0.2544 Dy
0.7456 0.7456 0.7456 Dy
0.7485 0.2503 0.2503 Dy
0.7497 0.2515 0.7497 Dy
0.7497 0.7497 0.2515 Dy

3.
Ho4IrPd, relaxed, DFT PBE-GGA; ΔH_f (0 K) = -0.62 eV/atom; crystal system = tetragonal
1.0
4.8217 0.0000 0.0000
0.0000 4.8217 0.0000
0.0000 0.0000 6.8374
Ho Ir Pd
4 1 1
Direct
0.0000 0.5000 0.2425 Ho
0.0000 0.5000 0.7575 Ho
0.5000 0.0000 0.2425 Ho
0.5000 0.0000 0.7575 Ho
0.0000 0.0000 0.0000 Ir
0.5000 0.5000 0.5000 Pd

4.
TbPmSnRu, relaxed, DFT PBE-GGA; ΔH_f (0 K) = -0.35 eV/atom; E above lowest polymorph = 120 meV/atom; crystal system = cubic
1.0
0.0000 3.6422 3.6422
3.6422 0.0000 3.6422
3.6422 3.6422 0.0000
Tb Pm Sn Ru
1 1 1 1
Direct
0.0000 0.0000 0.0000 Tb
0.5000 0.5000 0.5000 Pm
0.2500 0.2500 0.2500 Sn
0.7500 0.7500 0.7500 Ru

5.
DyAgSO5, relaxed, DFT PBE-GGA; energy relative to the elements, uncorrected = -1.83 eV/atom; crystal system = monoclinic
1.0
3.9602 -4.4456 0.0000
3.9602 4.4456 0.0000
-3.8890 0.0000 7.1548
Dy Ag S O
2 2 2 10
Direct
0.0000 0.5000 0.0000 Dy
0.5000 0.0000 0.5000 Dy
0.0663 0.9337 0.7500 Ag
0.9337 0.0663 0.2500 Ag
0.4120 0.5880 0.7500 S
0.5880 0.4120 0.2500 S
0.1703 0.8297 0.2500 O
0.2580 0.6378 0.8654 O
0.3262 0.3398 0.1268 O
0.3398 0.3262 0.6268 O
0.3622 0.7420 0.6346 O
0.6378 0.2580 0.3654 O
0.6602 0.6738 0.3732 O
0.6738 0.6602 0.8732 O
0.7420 0.3622 0.1346 O
0.8297 0.1703 0.7500 O

6.
TiMn, relaxed, DFT PBE-GGA; ΔH_f (0 K) = 1.72 eV/atom; crystal system = cubic
1.0
0.0000 2.7277 2.7277
2.7277 0.0000 2.7277
2.7277 2.7277 0.0000
Ti Mn
1 1
Direct
0.0000 0.0000 0.0000 Ti
0.7500 0.7500 0.7500 Mn

7.
Ho3Cr5Se12, relaxed, DFT PBE-GGA; energy relative to the elements, uncorrected = -0.86 eV/atom; crystal system = cubic
1.0
-7.8190 7.8190 7.8190
7.8190 -7.8190 7.8190
7.8190 7.8190 -7.8190
Ho Cr Se
12 20 48
Direct
0.1250 0.2500 0.3750 Ho
0.1250 0.3750 0.7500 Ho
0.2500 0.3750 0.1250 Ho
0.2500 0.8750 0.6250 Ho
0.3750 0.1250 0.2500 Ho
0.3750 0.7500 0.1250 Ho
0.6250 0.2500 0.8750 Ho
0.6250 0.8750 0.7500 Ho
0.7500 0.1250 0.3750 Ho
0.7500 0.6250 0.8750 Ho
0.8750 0.6250 0.2500 Ho
0.8750 0.7500 0.6250 Ho
0.0000 0.0000 0.0000 Cr
0.0000 0.0000 0.5000 Cr
0.0000 0.5000 0.0000 Cr
0.0000 0.5000 0.5000 Cr
0.1250 0.7500 0.8750 Cr
0.1250 0.8750 0.2500 Cr
0.2500 0.1250 0.8750 Cr
0.2500 0.6250 0.3750 Cr
0.3750 0.2500 0.6250 Cr
0.3750 0.6250 0.7500 Cr
0.5000 0.0000 0.0000 Cr
0.5000 0.0000 0.5000 Cr
0.5000 0.5000 0.0000 Cr
0.5000 0.5000 0.5000 Cr
0.6250 0.3750 0.2500 Cr
0.6250 0.7500 0.3750 Cr
0.7500 0.3750 0.6250 Cr
0.7500 0.8750 0.1250 Cr
0.8750 0.1250 0.7500 Cr
0.8750 0.2500 0.1250 Cr
0.0329 0.2095 0.1226 Se
0.0329 0.3234 0.9103 Se
0.0869 0.7095 0.6766 Se
0.0869 0.8774 0.4103 Se
0.0897 0.6226 0.4131 Se
0.0897 0.9671 0.6766 Se
0.1226 0.0329 0.2095 Se
0.1226 0.5897 0.9131 Se
0.1766 0.2095 0.5869 Se
0.1766 0.4671 0.5897 Se
0.2095 0.1226 0.0329 Se
0.2095 0.5869 0.1766 Se
0.2905 0.3234 0.9131 Se
0.2905 0.4671 0.3774 Se
0.3234 0.9103 0.0329 Se
0.3234 0.9131 0.2905 Se
0.3774 0.2905 0.4671 Se
0.3774 0.5869 0.9103 Se
0.4103 0.0869 0.8774 Se
0.4103 0.8234 0.5329 Se
0.4131 0.0897 0.6226 Se
0.4131 0.8234 0.7905 Se
0.4671 0.3774 0.2905 Se
0.4671 0.5897 0.1766 Se
0.5329 0.4103 0.8234 Se
0.5329 0.6226 0.7095 Se
0.5869 0.1766 0.2095 Se
0.5869 0.9103 0.3774 Se
0.5897 0.1766 0.4671 Se
0.5897 0.9131 0.1226 Se
0.6226 0.4131 0.0897 Se
0.6226 0.7095 0.5329 Se
0.6766 0.0869 0.7095 Se
0.6766 0.0897 0.9671 Se
0.7095 0.5329 0.6226 Se
0.7095 0.6766 0.0869 Se
0.7905 0.4131 0.8234 Se
0.7905 0.8774 0.9671 Se
0.8234 0.5329 0.4103 Se
0.8234 0.7905 0.4131 Se
0.8774 0.4103 0.0869 Se
0.8774 0.9671 0.7905 Se
0.9103 0.0329 0.3234 Se
0.9103 0.3774 0.5869 Se
0.9131 0.1226 0.5897 Se
0.9131 0.2905 0.3234 Se
0.9671 0.6766 0.0897 Se
0.9671 0.7905 0.8774 Se

8.
CeZr2VN4, relaxed, DFT PBE-GGA; energy relative to the elements, uncorrected = -1.42 eV/atom; crystal system = orthorhombic
1.0
1.6402 -5.6642 0.0000
1.6402 5.6642 0.0000
0.0000 0.0000 11.1579
Ce Zr V N
2 4 2 8
Direct
0.0979 0.9021 0.7500 Ce
0.9021 0.0979 0.2500 Ce
0.3698 0.6302 0.5433 Zr
0.3698 0.6302 0.9567 Zr
0.6302 0.3698 0.0433 Zr
0.6302 0.3698 0.4567 Zr
0.1630 0.8370 0.2500 V
0.8370 0.1630 0.7500 V
0.0000 0.0000 0.0000 N
0.0000 0.0000 0.5000 N
0.2654 0.7346 0.1184 N
0.2654 0.7346 0.3816 N
0.4365 0.5635 0.7500 N
0.5635 0.4365 0.2500 N
0.7346 0.2654 0.6184 N
0.7346 0.2654 0.8816 N

9.
CaTlAu2, relaxed, DFT PBE-GGA; ΔH_f (0 K) = -0.46 eV/atom; crystal system = monoclinic
1.0
3.9677 0.0000 0.0000
0.0000 4.4920 0.0000
-1.8781 0.0000 5.5248
Ca Tl Au
1 1 2
Direct
0.0000 0.0000 0.0000 Ca
0.7129 0.5000 0.4059 Tl
0.2807 0.0000 0.5513 Au
0.4415 0.5000 0.8723 Au

| no. | DFT total energy (hartree per atom) | spin magnetization (μB/f.u.) |
| --- | --- | --- |
| 1 | -0.0744 | 0.26 |
| 2 | -0.1667 | 0.00 |
| 3 | -0.2209 | 0.00 |
| 4 | -0.2210 | 0.00 |
| 5 | -0.2343 | 0.00 |
| 6 | -0.2504 | 1.43 |
| 7 | -0.2222 | 15.00 |
| 8 | -0.3529 | 0.13 |
| 9 | -0.1173 | 0.00 |